Record 1
Compound: NbAl2Ag
Source: the Alexandria database
Functional: meta-GGA SCAN
Structure: single point on PBEsol structure

Output
* total magnetization: 0.000 μB/atom
* total DFT energy (no corrections): -316.91 eV/cell

Cell: 7.034 7.034 5.678 Å, 90.00 90.00 90.00°
Space group I-42d (No. 122)
Unique sites:
Nb: 0.000 0.000 0.000
Al: 0.227 0.250 0.625
Ag: 0.000 0.000 0.500



Record 2
Compound: NbAl2AgSb
Source: the Alexandria database
Functional: meta-GGA SCAN
Structure: single point on PBEsol structure

Output
* total magnetization: 0.000 μB/atom
* formation energy without anion corrections: 0.705 eV/atom

Cell: 4.986 4.986 5.184 Å, 90.00 90.00 90.00°
Space group P4/mmm (No. 123)
Unique sites:
Nb: 0.000 0.000 0.000
Al: 0.000 0.500 0.000
Ag: 0.500 0.500 0.500
Sb: 0.000 0.000 0.500



Record 3
Compound: ScNbAl2Ag
Source: the Alexandria database
Functional: meta-GGA SCAN
Structure: single point on PBEsol structure

Output
* total magnetization: 0.000 μB/atom
* total DFT energy (no corrections): -87.84 eV/cell

Cell: 5.004 5.004 4.547 Å, 90.00 90.00 90.00°
Space group P4/mmm (No. 123)
Unique sites:
Sc: 0.000 0.000 0.000
Nb: 0.000 0.000 0.500
Al: 0.000 0.500 0.000
Ag: 0.500 0.500 0.500



Record 4
Compound: NdAlAg2
Source: the Alexandria database
Functional: meta-GGA SCAN
Structure: single point on PBEsol structure

Output
* total magnetization: 0.000 μB/atom
* total DFT energy (no corrections): -461.85 eV/cell

Cell: 6.876 6.876 6.876 Å, 90.00 90.00 90.00°
Space group Fm-3m (No. 225)
Unique sites:
Nd: 0.000 0.000 0.000
Al: 0.000 0.000 0.500
Ag: 0.250 0.250 0.250



Record 5
Compound: AlNiAg2
Source: the Alexandria database
Functional: meta-GGA SCAN
Structure: single point on PBEsol structure

Output
* total magnetization: 0.000 μB/atom
* total DFT energy (no corrections): -173.86 eV/cell

Cell: 3.891 3.891 7.576 Å, 90.00 90.00 90.00°
Space group I-4m2 (No. 119)
Unique sites:
Al: 0.000 0.000 0.000
Ni: 0.000 0.500 0.250
Ag: 0.000 0.000 0.500
Ag: 0.000 0.500 0.750



Record 6
Compound: AlNiAg2
Source: the Alexandria database
Functional: meta-GGA SCAN
Structure: single point on PBEsol structure

Output
* total magnetization: 0.000 μB/atom
* total DFT energy (no corrections): -86.41 eV/cell

Cell: 3.172 3.172 5.745 Å, 90.00 90.00 90.00°
Space group P4/mmm (No. 123)
Unique sites:
Al: 0.000 0.000 0.000
Ni: 0.000 0.000 0.500
Ag: 0.500 0.500 0.255



Record 7
Compound: Al2NiAg
Source: the Alexandria database
Functional: meta-GGA SCAN
Structure: single point on PBEsol structure

Output
* total magnetization: 0.000 μB/atom
* total DFT energy (no corrections): -64.77 eV/cell

Cell: 2.847 2.847 6.806 Å, 90.00 90.00 90.00°
Space group P4/mmm (No. 123)
Unique sites:
Al: 0.000 0.000 0.211
Ni: 0.500 0.500 0.000
Ag: 0.500 0.500 0.500



Record 8
Compound: Al2NiAg
Source: the Alexandria database
Functional: meta-GGA SCAN
Structure: single point on PBEsol structure

Output
* total magnetization: 0.000 μB/atom
* total DFT energy (no corrections): -63.71 eV/cell

Cell: 2.842 2.842 7.067 Å, 90.00 90.00 90.00°
Space group P4mm (No. 99)
Unique sites:
Al: 0.000 0.000 0.000
Al: 0.500 0.500 0.286
Ni: 0.000 0.000 0.472
Ag: 0.500 0.500 0.730